Record 1
The following is a DFT calculation (PBE) of a relaxed structure of SrCdIr2.

Energy of formation = 0.51 eV/atom
Electronic total energy = -4.573 eV/atom

Cell: 9.5247 9.5247 9.5247 Å, 18.65 18.65 18.65°
Atoms (fractional coordinates):
Ir: 0.9953 0.9953 0.9953
Ir: 0.5047 0.5047 0.5047
Cd: 0.2500 0.2500 0.2500
Sr: 0.7500 0.7500 0.7500


Record 2
The following is a DFT calculation (PBE) of a relaxed structure of SrCd2Ir.

Energy of formation = 0.29 eV/atom
Electronic total energy = -2.808 eV/atom

Cell: 5.3701 5.3701 3.3528 Å, 90.00 90.00 112.61°
Atoms (fractional coordinates):
Sr: 0.0000 0.5000 0.5000
Ir: 0.5000 0.0000 0.5000
Cd: 0.0000 0.0000 0.0000
Cd: 0.5000 0.5000 0.0000


Record 3
The following is a DFT calculation (PBE) of a relaxed structure of Sr4CdIr.

Energy of formation = 0.82 eV/atom
Energy above the most stable polymorph in this dataset = 1044 meV/atom
Electronic total energy = -1.926 eV/atom

Cell: 6.5882 6.5882 6.5882 Å, 60.00 60.00 60.00°
Atoms (fractional coordinates):
Sr: 0.3738 0.3738 0.8786
Sr: 0.3738 0.8786 0.3738
Sr: 0.8786 0.3738 0.3738
Sr: 0.3738 0.3738 0.3738
Ir: 0.0000 0.0000 0.0000
Cd: 0.7500 0.7500 0.7500


Record 4
The following is a DFT calculation (PBE) of a relaxed structure of SrCd2Ir.

Energy of formation = 0.00 eV/atom
Electronic total energy = -3.089 eV/atom

Cell: 4.0986 4.4573 5.9560 Å, 68.18 90.00 90.00°
Atoms (fractional coordinates):
Ir: 0.0000 0.2875 0.5507
Cd: 0.5000 0.4463 0.2325
Cd: 0.0000 0.0325 0.0571
Sr: 0.5000 0.7337 0.6597


Record 5
The following is a DFT calculation (PBE) of a relaxed structure of SrCd2Ir.

Energy of formation = -0.07 eV/atom
Electronic total energy = -3.164 eV/atom

Cell: 6.3821 6.3821 6.3821 Å, 150.20 132.39 57.19°
Atoms (fractional coordinates):
Sr: 0.7500 0.2500 0.5000
Cd: 0.4525 0.4525 0.0000
Cd: 0.0475 0.0475 0.0000
Ir: 0.2500 0.7500 0.5000


Record 6
The following is a DFT calculation (PBE) of a relaxed structure of SrCd2Ir.

Energy of formation = 0.04 eV/atom
Electronic total energy = -3.053 eV/atom

Cell: 4.8438 3.3763 5.8701 Å, 75.49 90.00 90.00°
Atoms (fractional coordinates):
Ir: 0.5000 0.2500 0.2500
Cd: 0.0000 0.4033 0.4622
Cd: 0.0000 0.0967 0.0378
Sr: 0.5000 0.7500 0.7500


Record 7
The following is a DFT calculation (PBE) of a relaxed structure of SrCd2Ir.

Energy of formation = -0.02 eV/atom
Electronic total energy = -3.111 eV/atom

Cell: 5.4177 5.4177 5.4177 Å, 131.10 131.10 71.65°
Atoms (fractional coordinates):
Cd: 0.0000 0.0000 0.0000
Cd: 0.5000 0.5000 0.0000
Ir: 0.2500 0.7500 0.5000
Sr: 0.7500 0.2500 0.5000


Record 8
The following is a DFT calculation (PBE) of a relaxed structure of SrCdIr2.

Energy of formation = 0.41 eV/atom
Electronic total energy = -4.671 eV/atom

Cell: 5.2709 5.2709 5.2709 Å, 132.06 132.06 70.14°
Atoms (fractional coordinates):
Ir: 0.0000 0.0000 0.0000
Ir: 0.2500 0.7500 0.5000
Cd: 0.7500 0.2500 0.5000
Sr: 0.5000 0.5000 0.0000